(1)
PdAu6 | GGA-PBE | optimized geometry

The value obtained for the density of states at the Fermi level is 2.41 states/eV/f.u. The calculation puts the total energy at -3.57 eV per atom. The calculated formation energy is -15 meV per atom. The space-group type is R-3m, No. 166. The offset from the most stable computed form is 0.0 meV per atom.

abc: 7.1499 7.1499 7.1499
angles: 37.94 37.94 37.94
With the nearest neighbours (Å) after each atom.
Fractional coordinates of all 7 atoms:
Pd 0.0000 0.0000 0.0000  8 Au 2.82-2.85
Au 0.1417 0.1417 0.1417  1 Pd 2.82, 7 Au 2.85-2.86
Au 0.2856 0.2856 0.2856  5 Au 2.81-2.86, 3 Pd 2.85
Au 0.4271 0.4271 0.4271  8 Au 2.81-2.90
Au 0.5729 0.5729 0.5729  8 Au 2.81-2.90
Au 0.7144 0.7144 0.7144  5 Au 2.81-2.86, 3 Pd 2.85
Au 0.8583 0.8583 0.8583  1 Pd 2.82, 7 Au 2.85-2.86


(2)
CaMn2InAu | GGA-PBE | optimized geometry

The value obtained for the density of states at the Fermi level is 3.25 states/eV/f.u. The calculation puts the total energy at -4.68 eV per atom. The calculated formation energy is 590 meV per atom. The space-group type is P4/mmm, No. 123.

abc: 5.0803 5.0803 5.2178
angles: 90.00 90.00 90.00
With the nearest neighbours (Å) after each atom.
Fractional coordinates of all 5 atoms:
Ca 0.0000 0.0000 0.0000  4 Au 3.59, 8 Mn 3.64
Mn 0.0000 0.5000 0.5000  2 In 2.54
Mn 0.5000 0.0000 0.5000  2 In 2.54
In 0.5000 0.5000 0.5000  4 Mn 2.54, 2 Au 2.61
Au 0.5000 0.5000 0.0000  2 In 2.61


(3)
CsLiN2F | GGA-PBE | optimized geometry

The value obtained for the density of states at the Fermi level is 2.59 states/eV/f.u. The calculation puts the total energy at -3.82 eV per atom. The space-group type is P4/mmm, No. 123. Its formation energy from raw total energies is 0.436 eV per atom. The offset from the most stable computed form is 0.0 meV per atom.

abc: 4.3678 4.3678 4.3982
angles: 90.00 90.00 90.00
With the nearest neighbours (Å) after each atom.
Fractional coordinates of all 5 atoms:
Cs 0.0000 0.0000 0.0000  4 F 3.09, 8 N 3.10
Li 0.5000 0.5000 0.5000  4 N 2.18, 2 F 2.20
N 0.0000 0.5000 0.5000  2 Li 2.18
N 0.5000 0.0000 0.5000  2 Li 2.18
F 0.5000 0.5000 0.0000  2 Li 2.20